Entry 1:
First-principles (PBE) data for VHgSb2I after structural relaxation, as listed in Alexandria via LeMat-Bulk.

a b c (Å): 5.470 5.470 5.950
angles (deg): 90.00 90.00 90.00
Positions (direct):
V (0.000, 0.000, 0.000)
Hg (0.500, 0.500, 0.500)
Sb (0.000, 0.500, 0.500)
Sb (0.500, 0.000, 0.500)
I (0.500, 0.500, 0.000)

Results
D(E_F) ... 9.48 states/eV per cell
Excess energy over the best structure of this formula in the dataset ... 1134 meV/atom
Total magnetic moment ... 0.34 μB per formula unit

---

Entry 2:
First-principles (PBE) data for VHgSb2I after structural relaxation, as listed in Alexandria via LeMat-Bulk.

a b c (Å): 5.101 5.101 5.866
angles (deg): 90.00 90.00 90.00
Positions (direct):
V (0.000, 0.000, 0.000)
Hg (0.500, 0.500, 0.500)
Sb (0.000, 0.500, 0.000)
Sb (0.500, 0.000, 0.000)
I (0.000, 0.000, 0.500)

Results
D(E_F) ... 2.86 states/eV per cell
Excess energy over the best structure of this formula in the dataset ... 0 meV/atom
Total magnetic moment ... 0.34 μB per formula unit

---

Entry 3:
First-principles (PBE) data for VHgSbI2 after structural relaxation, as listed in Alexandria via LeMat-Bulk.

a b c (Å): 5.910 5.910 5.639
angles (deg): 90.00 90.00 90.00
Positions (direct):
V (0.000, 0.000, 0.000)
Hg (0.500, 0.500, 0.500)
Sb (0.500, 0.500, 0.000)
I (0.000, 0.500, 0.500)
I (0.500, 0.000, 0.500)

Results
D(E_F) ... 7.49 states/eV per cell
Excess energy over the best structure of this formula in the dataset ... 741 meV/atom
Total magnetic moment ... 2.56 μB per formula unit

---

Question: Which value of excess energy over the best structure of this formula in the dataset does entry 1 give?
Answer: 1134 meV/atom

---

Question: Which formula does entry 1 have?
Answer: VHgSb2I

---

Question: The highest D(E_F) belongs to which entry?
Answer: number 1

---

Question: Among the records above, which one has the highest total magnetic moment?
Answer: VHgSbI2